(1)
A plane-wave DFT calculation with GGA-PBE was carried out for a relaxed structure of MgScNi3.

Cell lengths 4.3448, 4.3448, 4.3448 Å; angles 90.00, 90.00, 90.00 degrees
With the nearest neighbours (Å) after each atom.
Fractional coordinates of all 5 atoms:
Mg: 0.0000 0.0000 0.0000  6 Ni 2.17
Ni: 0.5000 0.0000 0.0000  2 Mg 2.17
Sc: 0.5000 0.5000 0.5000  12 Ni 3.07
Ni: 0.0000 0.5000 0.0000  2 Mg 2.17
Ni: 0.0000 0.0000 0.5000  2 Mg 2.17

---

(2)
A plane-wave DFT calculation with GGA-PBE was carried out for a relaxed structure of Mg2Sc2Ni.

Cell lengths 3.2337, 3.2337, 9.9817 Å; angles 99.32, 99.32, 90.00 degrees
With the nearest neighbours (Å) after each atom.
Fractional coordinates of all 5 atoms:
Sc: 0.5775 0.5775 0.1550  4 Ni 2.74, 1 Sc 3.01
Sc: 0.4225 0.4225 0.8450  4 Ni 2.74, 1 Sc 3.01
Ni: 0.0000 0.0000 0.0000  8 Sc 2.74
Mg: 0.8044 0.8044 0.6087  8 Mg 3.11-3.23, 4 Sc 3.24
Mg: 0.1956 0.1956 0.3913  8 Mg 3.11-3.23, 4 Sc 3.24

---

| no. | calculated density (g/cm³) | energy (eV per atom) | magnetization (μB per cell) |
| --- | --- | --- | --- |
| 1 | 4.97 | -4.50 | 0.00 |
| 2 | 3.22 | -4.57 | 0.00 |